Entry from Alexandria via LeMat-Bulk: crystalline LiZrPaSe4 at its relaxed geometry (PBE).

Output
The calculation puts the uncorrected formation energy at -1.33 eV/atom. The value obtained for the density is 5.80 Mg/m³. The value obtained for the calculated total energy is -86.41 eV per cell.

Structure (POSCAR):
```
LiZrPaSe4
1.0
7.772 0.000 0.000
3.886 7.033 -0.108
3.886 2.040 6.731
Li Zr Pa Se
2 2 2 8
Cartesian
7.772 4.501 0.665
7.772 4.572 5.959
5.829 1.020 3.366
1.943 1.020 3.366
0.000 0.000 0.000
3.886 4.537 3.312
11.658 6.928 4.852
7.772 6.878 4.815
7.772 2.195 1.809
3.886 2.145 1.772
5.808 5.828 1.634
9.736 5.828 1.634
5.808 3.245 4.990
9.736 3.245 4.990
```

Entry from Alexandria via LeMat-Bulk: crystalline CeAl12Cu4 at its relaxed geometry (PBE).

Output
The formation enthalpy at 0 K comes out at 1.066 eV/f.u. The value obtained for the density is 3.76 Mg/m³. The value obtained for the calculated total energy is -66.16 eV per cell.

Structure (POSCAR):
```
CeAl12Cu4
1.0
7.442 0.000 0.000
-2.481 7.017 0.000
-2.481 -3.508 6.077
Ce Al Cu
1 12 4
Cartesian
0.000 0.000 0.000
4.926 1.779 1.084
0.885 2.981 0.999
4.077 -1.153 3.994
0.035 -1.680 5.078
-1.596 4.661 2.083
1.596 0.527 5.078
2.516 -0.049 2.083
-0.035 3.557 3.994
2.445 5.189 0.999
3.366 2.883 2.995
-0.885 0.626 3.081
-2.445 1.729 4.993
-1.240 3.508 0.000
3.721 0.000 0.000
1.240 1.754 3.038
-1.240 -1.754 3.038
```

Entry from Alexandria via LeMat-Bulk: crystalline RbBa2Cu at its relaxed geometry (PBE).

Output
The formation enthalpy at 0 K comes out at 0.305 eV/f.u. The excess energy over the best structure of this formula in the dataset comes out at 0.139 eV/f.u. The value obtained for the density is 3.57 Mg/m³. The value obtained for the calculated total energy is -8.60 eV per cell.

Structure (POSCAR):
```
RbBa2Cu
1.0
4.118 0.000 0.000
0.000 4.118 0.000
0.000 0.000 11.632
Cu Ba Rb
1 2 1
Cartesian
2.059 2.059 0.000
0.000 0.000 9.766
0.000 0.000 1.866
2.059 2.059 5.816
```

Entry from Alexandria via LeMat-Bulk: crystalline SmErCdGe at its relaxed geometry (PBE).

Output
The formation enthalpy at 0 K comes out at -1.862 eV/f.u. The value obtained for the density is 8.51 Mg/m³. The value obtained for the calculated total energy is -16.68 eV per cell.

Structure (POSCAR):
```
SmErCdGe
1.0
5.176 0.000 0.000
2.588 4.483 0.000
2.588 1.494 4.226
Ge Cd Sm Er
1 1 1 1
Cartesian
0.000 0.000 0.000
5.176 2.988 2.113
2.588 1.494 1.057
7.764 4.483 3.170
```

Question: Look up the calculated total energy of the fourth one.
Answer: -16.68 eV per cell

Question: Number 1 is which compound?
Answer: LiZrPaSe4

Question: What is the formula in the second record?
Answer: CeAl12Cu4